Record 1
This record from Alexandria via LeMat-Bulk describes Li3TiNi2O6 after structural relaxation. The functional is GGA-PBEsol.

## Properties
energy relative to the elements, uncorrected: -1.83 eV per atom
total DFT energy (no corrections): -6.669 eV/atom
SG: C2/m
size of the total moment: 3.00 μB per formula unit

CIF file:
```
data_Li3TiNi2O6
_symmetry_space_group_name_H-M 'P 1'
_symmetry_Int_Tables_number 1
_symmetry_space_group_name_Hall 'P 1'
_cell_length_a 2.882
_cell_length_b 5.761
_cell_length_c 6.533
_cell_angle_alpha 102.98
_cell_angle_beta 102.74
_cell_angle_gamma 90.00
loop_
_atom_site_label
_atom_site_type_symbol
_atom_site_fract_x
_atom_site_fract_y
_atom_site_fract_z
Ti1 Ti 0.500 0.000 0.000
O1 O 0.005 0.771 0.010
O2 O 0.659 0.093 0.319
O3 O 0.995 0.229 0.990
Ni1 Ni 0.167 0.335 0.333
O4 O 0.331 0.440 0.661
O5 O 0.341 0.907 0.681
Li1 Li 0.175 0.826 0.350
Ni2 Ni 0.833 0.665 0.667
Li2 Li 0.825 0.174 0.650
O6 O 0.669 0.560 0.339
Li3 Li 0.500 0.500 0.000
```

=====

Record 2
This record from Alexandria via LeMat-Bulk describes YCoAu2 after structural relaxation. The functional is GGA-PBEsol.

## Properties
E_form: -1.30 eV per formula unit
total DFT energy (no corrections): -5.926 eV/atom
SG: I4/mmm
size of the total moment: 0.44 μB per formula unit

CIF file:
```
data_YCoAu2
_symmetry_space_group_name_H-M 'P 1'
_symmetry_Int_Tables_number 1
_symmetry_space_group_name_Hall 'P 1'
_cell_length_a 3.955
_cell_length_b 3.955
_cell_length_c 5.173
_cell_angle_alpha 112.48
_cell_angle_beta 112.48
_cell_angle_gamma 90.00
loop_
_atom_site_label
_atom_site_type_symbol
_atom_site_fract_x
_atom_site_fract_y
_atom_site_fract_z
Co1 Co 0.500 0.500 0.000
Au1 Au 0.250 0.750 0.500
Au2 Au 0.750 0.250 0.500
Y1 Y 0.000 0.000 0.000
```

=====

Record 3
This record from Alexandria via LeMat-Bulk describes Zn2InGeIr after structural relaxation. The functional is GGA-PBEsol.

## Properties
E_form: 7.54 eV per formula unit
total DFT energy (no corrections): -2.673 eV/atom
SG: P4/mmm
size of the total moment: 0.65 μB per formula unit

CIF file:
```
data_Zn2InGeIr
_symmetry_space_group_name_H-M 'P 1'
_symmetry_Int_Tables_number 1
_symmetry_space_group_name_Hall 'P 1'
_cell_length_a 4.722
_cell_length_b 4.722
_cell_length_c 5.037
_cell_angle_alpha 90.00
_cell_angle_beta 90.00
_cell_angle_gamma 90.00
loop_
_atom_site_label
_atom_site_type_symbol
_atom_site_fract_x
_atom_site_fract_y
_atom_site_fract_z
Ir1 Ir 0.500 0.500 0.500
In1 In 0.000 0.000 0.000
Zn1 Zn 0.000 0.500 0.000
Zn2 Zn 0.500 0.000 0.000
Ge1 Ge 0.000 0.000 0.500
```

=====

Record 4
This record from Alexandria via LeMat-Bulk describes YHS2 after structural relaxation. The functional is GGA-PBEsol.

## Properties
E above lowest polymorph: 2.91 eV/f.u.
total DFT energy (no corrections): -5.317 eV/atom
SG: Fm-3m
size of the total moment: 0.59 μB per formula unit

CIF file:
```
data_YHS2
_symmetry_space_group_name_H-M 'P 1'
_symmetry_Int_Tables_number 1
_symmetry_space_group_name_Hall 'P 1'
_cell_length_a 4.553
_cell_length_b 4.553
_cell_length_c 4.553
_cell_angle_alpha 60.00
_cell_angle_beta 60.00
_cell_angle_gamma 60.00
loop_
_atom_site_label
_atom_site_type_symbol
_atom_site_fract_x
_atom_site_fract_y
_atom_site_fract_z
S1 S 0.250 0.250 0.250
S2 S 0.750 0.750 0.750
Y1 Y 0.500 0.500 0.500
H1 H 0.000 0.000 0.000
```

=====

Record 5
This record from Alexandria via LeMat-Bulk describes BiC3Br after structural relaxation. The functional is GGA-PBEsol.

## Properties
energy relative to the elements, uncorrected: 3.13 eV per atom
total DFT energy (no corrections): -3.888 eV/atom
SG: Pm-3m
size of the total moment: 0.01 μB per formula unit

CIF file:
```
data_BiC3Br
_symmetry_space_group_name_H-M 'P 1'
_symmetry_Int_Tables_number 1
_symmetry_space_group_name_Hall 'P 1'
_cell_length_a 4.118
_cell_length_b 4.118
_cell_length_c 4.118
_cell_angle_alpha 90.00
_cell_angle_beta 90.00
_cell_angle_gamma 90.00
loop_
_atom_site_label
_atom_site_type_symbol
_atom_site_fract_x
_atom_site_fract_y
_atom_site_fract_z
Bi1 Bi 0.500 0.500 0.500
Br1 Br 0.000 0.000 0.000
C1 C 0.000 0.000 0.500
C2 C 0.500 0.000 0.000
C3 C 0.000 0.500 0.000
```

=====

Record 6
This record from Alexandria via LeMat-Bulk describes KSbAs2 after structural relaxation. The functional is GGA-PBEsol.

## Properties
energy relative to the elements, uncorrected: 0.00 eV per atom
total DFT energy (no corrections): -3.977 eV/atom
SG: Imm2
size of the total moment: 0.00 μB per formula unit

CIF file:
```
data_KSbAs2
_symmetry_space_group_name_H-M 'P 1'
_symmetry_Int_Tables_number 1
_symmetry_space_group_name_Hall 'P 1'
_cell_length_a 3.471
_cell_length_b 5.634
_cell_length_c 6.081
_cell_angle_alpha 117.59
_cell_angle_beta 106.58
_cell_angle_gamma 90.00
loop_
_atom_site_label
_atom_site_type_symbol
_atom_site_fract_x
_atom_site_fract_y
_atom_site_fract_z
As1 As 0.018 0.018 0.037
K1 K 0.492 0.492 0.983
Sb1 Sb 0.292 0.792 0.583
As2 As 0.698 0.198 0.397
```

=====

Which of these has the lowest total DFT energy (no corrections)? Li3TiNi2O6